Entry 1:
VASP calculation (PBE) on Nd3HfO6 after structural relaxation.

a b c (Å): 9.5830 11.3877 5.7155
angles (deg): 90.00 90.00 90.00
Space group Cmc2_1 (No. 36)
Unique sites:
Nd: 0.0000 0.1034 0.0000
Nd: 0.2003 0.3942 0.0491
Hf: 0.0000 0.3420 0.5636
O: 0.0000 0.2810 0.2333
O: 0.0000 0.4842 0.8189
O: 0.1475 0.2517 0.7326
O: 0.1528 0.0141 0.2762

## Properties
Volume = 15.6 Å³/atom
Raw formation energy = -3.238 eV/atom
Calculated total energy = -86.39 eV/f.u.
ρ = 7.53 g cm⁻³
Density of states at the Fermi level = 2.2 states/eV/f.u.

---

Entry 2:
VASP calculation (PBE) on Nd3HfO after structural relaxation.

a b c (Å): 4.9921 4.9921 4.9921
angles (deg): 90.00 90.00 90.00
Space group Pm-3m (No. 221)
Unique sites:
Nd: 0.0000 0.0000 0.5000
Hf: 0.5000 0.5000 0.5000
O: 0.0000 0.0000 0.0000

## Properties
Volume = 24.9 Å³/atom
Raw formation energy = -0.992 eV/atom
Calculated total energy = -34.18 eV/f.u.
ρ = 8.37 g cm⁻³
Density of states at the Fermi level = 4.9 states/eV/f.u.